CuNiRh2 meta-GGA SCAN single point on PBEsol structure; calculated density = 11.1 g/cm³; energy = -0.9041 hartree per atom; space-group type = Cmmm
1.0
5.244 0.000 0.000
0.000 7.131 0.000
0.000 0.000 2.627
Cu Ni Rh
2 2 4
direct
0.000 0.000 0.000
0.500 0.500 0.000
0.000 0.500 0.000
0.500 0.000 0.000
0.250 0.250 0.500
0.250 0.750 0.500
0.750 0.250 0.500
0.750 0.750 0.500